Density functional theory data (PBE-GGA) for La8Si3Br4Cl after structural relaxation.

Cell lengths 8.6636, 8.6636, 22.0318 Å; angles 90.00, 90.00, 120.00 degrees
With the nearest neighbours (Å) after each atom.
Space group R-3m (No. 166, hexagonal axes)
Symmetry-distinct sites (fractional):
La1 0.0000 0.0000 0.2390  3 Si 2.97, 3 Br 3.25
La2 0.0087 0.5044 0.7612  2 Si 2.94, 1 Cl 3.02, 3 Br 3.20-3.28
Si1 0.0000 0.5000 0.5000  6 La 2.94-2.97
Br1 0.0000 0.0000 0.0000  6 La 3.20
Br2 0.0000 0.5000 0.0000  6 La 3.25-3.28
Cl1 0.0000 0.0000 0.5000  6 La 3.02

Computed properties:
The theoretical density comes out at 5.39 Mg/m³. As for the calculated total energy: -5.255 eV/atom.